Entry 1:
{"formula": "La2MnBe", "functional": "PBE", "state": "relaxed", "e_form_ev_per_atom": 0.230, "space_group": "P4mm", "dft_energy_ev_per_atom": -5.457, "magmom_total_mub_per_fu": 0.00, "vol_a3_per_atom": 22.0, "relative_energy_ev_per_atom": 0.026, "lattice_angstrom": [[3.308, 0.000, 0.000], [0.000, 3.308, 0.000], [0.000, 0.000, 8.050]], "species": ["La", "La", "Mn", "Be"], "fractional_positions": [[0.000, 0.000, 0.000], [0.500, 0.500, 0.430], [0.000, 0.000, 0.715], [0.500, 0.500, 0.771]]}

=====

Entry 2:
{"formula": "LaMn2Be", "functional": "PBE", "state": "relaxed", "e_form_ev_per_atom": 0.239, "space_group": "C2/m", "dft_energy_ev_per_atom": -6.509, "magmom_total_mub_per_fu": 5.35, "vol_a3_per_atom": 17.9, "relative_energy_ev_per_atom": 0.196, "lattice_angstrom": [[3.447, -1.993, 0.000], [3.447, 1.993, 0.000], [-2.312, 0.000, 5.197]], "species": ["La", "Mn", "Mn", "Be"], "fractional_positions": [[0.000, 0.000, 0.000], [0.202, 0.202, 0.607], [0.798, 0.798, 0.393], [0.500, 0.500, 0.500]]}

=====

Entry 3:
{"formula": "LaMn4Be", "functional": "PBE", "state": "relaxed", "e_form_ev_per_atom": 0.472, "space_group": "F-43m", "dft_energy_ev_per_atom": -7.084, "magmom_total_mub_per_fu": 8.07, "vol_a3_per_atom": 14.9, "lattice_angstrom": [[0.000, 3.548, 3.548], [3.548, 0.000, 3.548], [3.548, 3.548, 0.000]], "species": ["La", "Mn", "Mn", "Mn", "Mn", "Be"], "fractional_positions": [[0.000, 0.000, 0.000], [0.133, 0.622, 0.622], [0.622, 0.133, 0.622], [0.622, 0.622, 0.133], [0.622, 0.622, 0.622], [0.250, 0.250, 0.250]]}

=====

Entry 4:
{"formula": "LaMn2Be", "functional": "PBE", "state": "relaxed", "e_form_ev_per_atom": 0.527, "space_group": "P4/mmm", "dft_energy_ev_per_atom": -6.221, "magmom_total_mub_per_fu": 4.58, "vol_a3_per_atom": 16.2, "relative_energy_ev_per_atom": 0.484, "lattice_angstrom": [[4.143, 0.000, 0.000], [0.000, 4.143, 0.000], [0.000, 0.000, 3.784]], "species": ["La", "Mn", "Mn", "Be"], "fractional_positions": [[0.000, 0.000, 0.000], [0.000, 0.500, 0.500], [0.500, 0.000, 0.500], [0.500, 0.500, 0.000]]}

=====

Entry 5:
{"formula": "La2MnBe", "functional": "PBE", "state": "relaxed", "e_form_ev_per_atom": 0.277, "space_group": "P4/mmm", "dft_energy_ev_per_atom": -5.411, "magmom_total_mub_per_fu": 3.36, "vol_a3_per_atom": 24.4, "relative_energy_ev_per_atom": 0.073, "lattice_angstrom": [[3.684, 0.000, 0.000], [0.000, 3.684, 0.000], [0.000, 0.000, 7.200]], "species": ["La", "La", "Mn", "Be"], "fractional_positions": [[0.000, 0.000, 0.234], [0.000, 0.000, 0.766], [0.500, 0.500, 0.500], [0.500, 0.500, 0.000]]}

=====

Entry 6:
{"formula": "La2MnBe", "functional": "PBE", "state": "relaxed", "e_form_ev_per_atom": 0.450, "space_group": "Fm-3m", "dft_energy_ev_per_atom": -5.238, "magmom_total_mub_per_fu": 0.00, "vol_a3_per_atom": 22.2, "relative_energy_ev_per_atom": 0.246, "lattice_angstrom": [[0.000, 3.542, 3.542], [3.542, 0.000, 3.542], [3.542, 3.542, 0.000]], "species": ["La", "La", "Mn", "Be"], "fractional_positions": [[0.250, 0.250, 0.250], [0.750, 0.750, 0.750], [0.000, 0.000, 0.000], [0.500, 0.500, 0.500]]}

=====

Entry 7:
{"formula": "LaMnBe", "functional": "PBE", "state": "relaxed", "e_form_ev_per_atom": 0.691, "space_group": "F-43m", "dft_energy_ev_per_atom": -5.250, "magmom_total_mub_per_fu": 0.00, "vol_a3_per_atom": 17.9, "relative_energy_ev_per_atom": 0.473, "lattice_angstrom": [[0.000, 2.997, 2.997], [2.997, 0.000, 2.997], [2.997, 2.997, 0.000]], "species": ["La", "Mn", "Be"], "fractional_positions": [[0.000, 0.000, 0.000], [0.750, 0.750, 0.750], [0.500, 0.500, 0.500]]}

=====

Entry 8:
{"formula": "La2MnBe", "functional": "PBE", "state": "relaxed", "e_form_ev_per_atom": 0.204, "space_group": "Pm", "dft_energy_ev_per_atom": -5.484, "magmom_total_mub_per_fu": 0.00, "vol_a3_per_atom": 21.9, "relative_energy_ev_per_atom": 0.000, "lattice_angstrom": [[4.709, 0.000, 0.000], [0.000, 4.431, 0.000], [-2.344, 0.000, 4.189]], "species": ["La", "La", "Mn", "Be"], "fractional_positions": [[0.000, 0.000, 0.000], [0.330, 0.500, 0.658], [0.657, 0.000, 0.313], [0.659, 0.500, 0.315]]}

=====

Entry 9:
{"formula": "La2MnBe2", "functional": "PBE", "state": "relaxed", "e_form_ev_per_atom": 0.455, "space_group": "I4/mmm", "dft_energy_ev_per_atom": -4.841, "magmom_total_mub_per_fu": 3.01, "vol_a3_per_atom": 22.6, "lattice_angstrom": [[-2.849, 2.849, 3.484], [2.849, -2.849, 3.484], [2.849, 2.849, -3.484]], "species": ["La", "La", "Mn", "Be", "Be"], "fractional_positions": [[0.250, 0.750, 0.500], [0.750, 0.250, 0.500], [0.000, 0.000, 0.000], [0.356, 0.356, 0.000], [0.644, 0.644, 0.000]]}

=====

Entry 10:
{"formula": "LaMnBe", "functional": "PBE", "state": "relaxed", "e_form_ev_per_atom": 0.542, "space_group": "F-43m", "dft_energy_ev_per_atom": -5.400, "magmom_total_mub_per_fu": 3.44, "vol_a3_per_atom": 22.5, "relative_energy_ev_per_atom": 0.324, "lattice_angstrom": [[0.000, 3.234, 3.234], [3.234, 0.000, 3.234], [3.234, 3.234, 0.000]], "species": ["La", "Mn", "Be"], "fractional_positions": [[0.000, 0.000, 0.000], [0.500, 0.500, 0.500], [0.750, 0.750, 0.750]]}

=====

Entry 11:
{"formula": "LaMn2Be", "functional": "PBE", "state": "relaxed", "e_form_ev_per_atom": 0.361, "space_group": "P4/mmm", "dft_energy_ev_per_atom": -6.387, "magmom_total_mub_per_fu": 0.84, "vol_a3_per_atom": 15.4, "relative_energy_ev_per_atom": 0.319, "lattice_angstrom": [[3.066, 0.000, 0.000], [0.000, 3.066, 0.000], [0.000, 0.000, 6.558]], "species": ["La", "Mn", "Mn", "Be"], "fractional_positions": [[0.000, 0.000, 0.000], [0.500, 0.500, 0.351], [0.500, 0.500, 0.649], [0.000, 0.000, 0.500]]}

=====

Entry 12:
{"formula": "LaMn2Be", "functional": "PBE", "state": "relaxed", "e_form_ev_per_atom": 0.314, "space_group": "Pm", "dft_energy_ev_per_atom": -6.434, "magmom_total_mub_per_fu": 0.08, "vol_a3_per_atom": 17.7, "relative_energy_ev_per_atom": 0.272, "lattice_angstrom": [[3.120, 0.000, 0.000], [0.000, 3.875, 0.000], [-1.424, 0.000, 5.845]], "species": ["La", "Mn", "Mn", "Be"], "fractional_positions": [[0.000, 0.000, 0.000], [0.282, 0.000, 0.510], [0.745, 0.500, 0.444], [0.377, 0.500, 0.733]]}

=====

Entry 13:
{"formula": "LaMn2Be", "functional": "PBE", "state": "relaxed", "e_form_ev_per_atom": 0.468, "space_group": "Imm2", "dft_energy_ev_per_atom": -6.281, "magmom_total_mub_per_fu": 5.31, "vol_a3_per_atom": 16.9, "relative_energy_ev_per_atom": 0.425, "lattice_angstrom": [[-1.743, 2.167, 4.466], [1.743, -2.167, 4.466], [1.743, 2.167, -4.466]], "species": ["La", "Mn", "Mn", "Be"], "fractional_positions": [[0.000, 0.000, 0.000], [0.269, 0.769, 0.500], [0.547, 0.547, 0.000], [0.725, 0.225, 0.500]]}

=====

Entry 14:
{"formula": "LaMn2Be", "functional": "PBE", "state": "relaxed", "e_form_ev_per_atom": 0.666, "space_group": "C2/m", "dft_energy_ev_per_atom": -6.083, "magmom_total_mub_per_fu": 4.91, "vol_a3_per_atom": 16.4, "relative_energy_ev_per_atom": 0.623, "lattice_angstrom": [[2.840, -4.374, 0.000], [2.840, 4.374, 0.000], [-1.457, 0.000, 2.638]], "species": ["La", "Mn", "Mn", "Be"], "fractional_positions": [[0.000, 0.000, 0.000], [0.000, 0.500, 0.500], [0.500, 0.000, 0.500], [0.500, 0.500, 0.000]]}

=====

Entry 15:
{"formula": "La2MnBe", "functional": "PBE", "state": "relaxed", "e_form_ev_per_atom": 0.211, "space_group": "Imm2", "dft_energy_ev_per_atom": -5.476, "magmom_total_mub_per_fu": 2.58, "vol_a3_per_atom": 22.9, "relative_energy_ev_per_atom": 0.008, "lattice_angstrom": [[-1.829, 2.411, 5.199], [1.829, -2.411, 5.199], [1.829, 2.411, -5.199]], "species": ["La", "La", "Mn", "Be"], "fractional_positions": [[0.000, 0.000, 0.000], [0.697, 0.197, 0.500], [0.287, 0.787, 0.500], [0.422, 0.422, 0.000]]}

=====

Entry 16:
{"formula": "LaMn2Be", "functional": "PBE", "state": "relaxed", "e_form_ev_per_atom": 0.227, "space_group": "P4mm", "dft_energy_ev_per_atom": -6.521, "magmom_total_mub_per_fu": 0.14, "vol_a3_per_atom": 15.9, "relative_energy_ev_per_atom": 0.184, "lattice_angstrom": [[2.991, 0.000, 0.000], [0.000, 2.991, 0.000], [0.000, 0.000, 7.091]], "species": ["La", "Mn", "Mn", "Be"], "fractional_positions": [[0.000, 0.000, 0.000], [0.000, 0.000, 0.509], [0.500, 0.500, 0.337], [0.500, 0.500, 0.674]]}

=====

Entry 17:
{"formula": "LaMnBe4", "functional": "PBE", "state": "relaxed", "e_form_ev_per_atom": 0.211, "space_group": "F-43m", "dft_energy_ev_per_atom": -4.623, "magmom_total_mub_per_fu": 2.02, "vol_a3_per_atom": 13.0, "lattice_angstrom": [[0.000, 3.394, 3.394], [3.394, 0.000, 3.394], [3.394, 3.394, 0.000]], "species": ["La", "Mn", "Be", "Be", "Be", "Be"], "fractional_positions": [[0.000, 0.000, 0.000], [0.750, 0.750, 0.750], [0.381, 0.381, 0.381], [0.381, 0.381, 0.858], [0.381, 0.858, 0.381], [0.858, 0.381, 0.381]]}

=====

Entry 18:
{"formula": "Na2LaMnBe", "functional": "PBE", "state": "relaxed", "e_form_ev_per_atom": 0.691, "space_group": "P4/mmm", "dft_energy_ev_per_atom": -3.402, "magmom_total_mub_per_fu": 3.35, "vol_a3_per_atom": 24.7, "lattice_angstrom": [[5.151, 0.000, 0.000], [0.000, 5.151, 0.000], [0.000, 0.000, 4.648]], "species": ["Na", "Na", "La", "Mn", "Be"], "fractional_positions": [[0.000, 0.500, 0.000], [0.500, 0.000, 0.000], [0.000, 0.000, 0.500], [0.500, 0.500, 0.500], [0.500, 0.500, 0.000]]}

=====

Entry 19:
{"formula": "La2MnBePd6", "functional": "PBE", "state": "relaxed", "e_form_ev_per_atom": -0.556, "space_group": "P-1", "dft_energy_ev_per_atom": -5.946, "magmom_total_mub_per_fu": 4.32, "vol_a3_per_atom": 19.4, "lattice_angstrom": [[5.885, 0.000, 0.000], [2.929, 5.140, 0.000], [2.898, 1.637, 6.427]], "species": ["La", "La", "Mn", "Be", "Pd", "Pd", "Pd", "Pd", "Pd", "Pd"], "fractional_positions": [[0.233, 0.235, 0.302], [0.767, 0.765, 0.698], [0.500, 0.500, 0.500], [0.000, 0.000, 0.000], [0.237, 0.707, 0.814], [0.238, 0.235, 0.802], [0.284, 0.766, 0.192], [0.716, 0.234, 0.808], [0.762, 0.765, 0.198], [0.763, 0.293, 0.186]]}

=====

Entry 20:
{"formula": "LaBeMo3", "functional": "PBE", "state": "relaxed", "e_form_ev_per_atom": 2.553, "space_group": "Pm-3m", "dft_energy_ev_per_atom": -5.676, "magmom_total_mub_per_fu": 0.18, "vol_a3_per_atom": 21.6, "relative_energy_ev_per_atom": 1.702, "lattice_angstrom": [[4.764, 0.000, 0.000], [0.000, 4.764, 0.000], [0.000, 0.000, 4.764]], "species": ["La", "Be", "Mo", "Mo", "Mo"], "fractional_positions": [[0.000, 0.000, 0.000], [0.500, 0.500, 0.500], [0.000, 0.000, 0.500], [0.000, 0.500, 0.000], [0.500, 0.000, 0.000]]}